The following is a PBE with a Hubbard U calculation of a geometry-optimized Li5Fe4Si6O20 structure, from the Alexandria database.

## Properties
**Total magnetization**: 13.00 μB/cell
**Uncorrected energy**: -6.907 eV/atom

Cell and atoms, written as CIF:
```
data_Li5Fe4Si6O20
_symmetry_space_group_name_H-M 'P 1'
_symmetry_Int_Tables_number 1
_cell_length_a 5.364
_cell_length_b 5.451
_cell_length_c 16.879
_cell_angle_alpha 88.66
_cell_angle_beta 95.78
_cell_angle_gamma 119.08
loop_
_symmetry_equiv_pos_as_xyz
'x,y,z'
loop_
_atom_site_label
_atom_site_type_symbol
_atom_site_fract_x
_atom_site_fract_y
_atom_site_fract_z
Li1 Li 0.420 0.531 0.222
O1 O 0.584 0.214 0.068
O2 O 0.830 0.568 0.190
Si1 Si 0.873 0.503 0.099
Fe1 Fe 0.192 0.162 0.076
O3 O 0.834 0.401 0.406
O4 O 0.738 0.880 0.280
O5 O 0.184 0.509 0.097
O6 O 0.117 0.955 0.455
O7 O 0.823 0.062 0.565
Si2 Si 0.830 0.337 0.606
O8 O 0.193 0.123 0.188
Si3 Si 0.132 0.697 0.407
O9 O 0.249 0.383 0.818
Fe2 Fe 0.835 0.808 0.917
Li2 Li 0.640 0.446 0.776
Li3 Li 0.478 0.680 0.554
O10 O 0.113 0.188 0.961
Si4 Si 0.008 0.139 0.752
Fe3 Fe 0.155 0.005 0.580
O11 O 0.826 0.286 0.704
O12 O 0.900 0.777 0.047
O13 O 0.464 0.737 0.941
O14 O 0.415 0.667 0.438
O15 O 0.194 0.084 0.694
Li4 Li 0.484 0.345 0.447
Si5 Si 0.176 0.462 0.903
O16 O 0.893 0.500 0.892
O17 O 0.205 0.821 0.315
O18 O 0.536 0.344 0.571
Li5 Li 0.512 0.835 0.050
O19 O 0.801 0.874 0.804
Fe4 Fe 0.762 0.008 0.394
Si6 Si 0.997 0.864 0.245
O20 O 0.115 0.632 0.589
```